An optimized crystal structure of Al2CrCu. Source: the Alexandria database, functional PBEsol.

a = 3.143 Å, b = 3.953 Å, c = 8.473 Å
α = 90.00°, β = 90.00°, γ = 90.00°
Space group Imm2 (No. 44)
Asymmetric unit:
Al 0.000 0.000 0.000 (multiplicity 2)
Al 0.000 0.500 0.234 (multiplicity 2)
Cr 0.000 0.000 0.483 (multiplicity 2)
Cu 0.000 0.500 0.738 (multiplicity 2)

Results
The calculation puts the total DFT energy (no corrections) at -5.7448 eV/atom. For the formation energy, the calculation gives -0.0550 eV per atom.


An optimized crystal structure of Al4CrCu. Source: the Alexandria database, functional PBEsol.

a = 7.146 Å, b = 7.146 Å, c = 7.146 Å
α = 90.00°, β = 90.00°, γ = 90.00°
Space group F-43m (No. 216)
Asymmetric unit:
Al 0.124 0.124 0.376 (multiplicity 16)
Cr 0.250 0.250 0.750 (multiplicity 4)
Cu 0.000 0.000 0.000 (multiplicity 4)

Results
The calculation puts the total DFT energy (no corrections) at -4.8259 eV/atom. For the formation energy, the calculation gives 0.3311 eV per atom.


An optimized crystal structure of Al2CrCu. Source: the Alexandria database, functional PBEsol.

a = 9.301 Å, b = 2.712 Å, c = 4.358 Å
α = 90.00°, β = 109.99°, γ = 90.00°
Space group Cm (No. 8)
Asymmetric unit:
Al 0.000 0.000 0.000 (multiplicity 2)
Al 0.234 0.000 0.623 (multiplicity 2)
Cr 0.488 0.000 0.497 (multiplicity 2)
Cu 0.247 0.500 0.131 (multiplicity 2)

Results
The calculation puts the total DFT energy (no corrections) at -5.7504 eV/atom. For the formation energy, the calculation gives -0.0607 eV per atom.